(1)
Here is an optimized crystal structure of CrFeCu2 from the Alexandria database. Energies are from PBE-GGA.

a b c (Å): 8.724 8.724 8.724
angles (deg): 16.61 16.61 16.61
Atoms (fractional coordinates):
Cr: 0.000 0.000 0.000
Fe: 0.500 0.500 0.500
Cu: 0.250 0.250 0.250
Cu: 0.750 0.750 0.750

Output
Fermi-level density of states: 3.51 states/eV/cell

---

(2)
Here is an optimized crystal structure of CrFeCu2 from the Alexandria database. Energies are from PBE-GGA.

a b c (Å): 2.455 2.455 7.786
angles (deg): 90.00 90.00 90.00
Atoms (fractional coordinates):
Cr: 0.000 0.000 0.000
Fe: 0.500 0.500 0.748
Cu: 0.000 0.000 0.501
Cu: 0.500 0.500 0.252

Output
Fermi-level density of states: 4.18 states/eV/cell

---

Number 1: formation enthalpy at 0 K 0.27 eV/atom. Number 2: formation enthalpy at 0 K 0.18 eV/atom.